No. 1
This record from the Open Quantum Materials Database describes a relaxed structure of Zr3ZnIn2NiIr2. The functional is PBE.

Results
magnetic moment: 0.00 μB per formula unit
SG: Amm2 (38)

Cell: 3.3974 7.4561 7.4561 Å, 119.60 90.00 90.00°
Closest atoms and distances in Å follow each position.
Fractional coordinates of all 9 atoms:
Zr1 0.0000 0.0000 0.0000  4 Ir 2.81, 2 Zn 2.91
Zr2 0.0000 0.1772 0.5661  4 Ir 2.78-2.93, 1 Ni 2.85, 2 Zn 3.06
Zr3 0.0000 0.5661 0.1772  4 Ir 2.78-2.93, 1 Ni 2.85, 2 Zn 3.06
Zn1 0.5000 0.3143 0.3143  2 Ni 2.47, 2 Ir 2.77
In1 0.5000 0.5830 0.8341  2 Ni 2.62, 2 Ir 2.84-2.85
In2 0.5000 0.8341 0.5830  2 Ni 2.62, 2 Ir 2.84-2.85
Ni1 0.0000 0.5536 0.5536  2 Zn 2.47, 4 In 2.62
Ir1 0.5000 0.2485 0.9154  1 Zn 2.77, 6 Zr 2.78-2.93, 2 In 2.84-2.85
Ir2 0.5000 0.9154 0.2485  1 Zn 2.77, 6 Zr 2.78-2.93, 2 In 2.84-2.85

***

No. 2
This record from the Open Quantum Materials Database describes a relaxed structure of KTbScSe3. The functional is PBE.

Results
magnetic moment: 0.07 μB per formula unit
SG: Cmcm (63)

Cell: 7.8378 7.8378 11.1533 Å, 90.00 90.00 148.07°
Closest atoms and distances in Å follow each position.
Fractional coordinates of all 12 atoms:
K1 0.2422 0.7578 0.7500  6 Se 3.44-3.63
K2 0.7578 0.2422 0.2500  6 Se 3.44-3.63
Tb1 0.5000 0.5000 0.0000  6 Se 2.95
Tb2 0.5000 0.5000 0.5000  6 Se 2.95
Sc1 0.0336 0.9664 0.2500  4 Se 2.56-2.61
Sc2 0.9664 0.0336 0.7500  4 Se 2.56-2.61
Se1 0.1265 0.8735 0.0579  1 Sc 2.56
Se2 0.1265 0.8735 0.4421  1 Sc 2.56
Se3 0.4355 0.5645 0.2500  2 Sc 2.61
Se4 0.5645 0.4355 0.7500  2 Sc 2.61
Se5 0.8735 0.1265 0.5579  1 Sc 2.56
Se6 0.8735 0.1265 0.9421  1 Sc 2.56

***

| no. | calculated total energy (eV per cell) |
| --- | --- |
| 1 | -61.0 |
| 2 | -63.9 |